# 1
{
  "formula": "TiFe2Co2",
  "functional": "PBE",
  "state": "relaxed",
  "magmom_total_mub_per_cell": 10.830,
  "final_energy_ev_per_atom": -7.654,
  "space_group": "No. 74",
  "cell": [[-2.085, 4.999, 3.093], [2.085, -4.999, 3.093], [2.085, 4.999, -3.093]],
  "species": ["Ti", "Ti", "Fe", "Fe", "Fe", "Fe", "Co", "Co", "Co", "Co"],
  "frac_coords": [[0.319, 0.069, 0.250], [0.681, 0.931, 0.750], [0.127, 0.170, 0.957], [0.287, 0.830, 0.457], [0.713, 0.170, 0.543], [0.873, 0.830, 0.043], [0.169, 0.551, 0.618], [0.432, 0.551, 0.882], [0.568, 0.449, 0.118], [0.831, 0.449, 0.382]]
}

# 2
{
  "formula": "TiFe2Co2",
  "functional": "PBE",
  "state": "relaxed",
  "magmom_total_mub_per_cell": 12.723,
  "final_energy_ev_per_atom": -7.810,
  "space_group": "No. 127",
  "cell": [[6.752, 0.000, 0.000], [0.000, 6.752, 0.000], [0.000, 0.000, 2.709]],
  "species": ["Ti", "Ti", "Fe", "Fe", "Fe", "Fe", "Co", "Co", "Co", "Co"],
  "frac_coords": [[0.000, 0.000, 0.000], [0.500, 0.500, 0.000], [0.158, 0.342, 0.500], [0.342, 0.842, 0.500], [0.658, 0.158, 0.500], [0.842, 0.658, 0.500], [0.138, 0.638, 0.000], [0.362, 0.138, 0.000], [0.638, 0.862, 0.000], [0.862, 0.362, 0.000]]
}